DFT (PBE) results for an optimized crystal structure of KTl3Sb.

Properties
Its uncorrected formation energy is -132 meV per atom.

Unit cell a=11.160 b=4.582 c=13.998 alpha=90.00 beta=90.00 gamma=90.00
Space group Pnma (No. 62)
Inequivalent atoms, fractional coordinates:
K 0.198 0.250 0.000 (multiplicity 4)
Tl 0.062 0.250 0.399 (multiplicity 4)
Tl 0.070 0.750 0.189 (multiplicity 4)
Tl 0.167 0.750 0.792 (multiplicity 4)
Sb 0.131 0.250 0.641 (multiplicity 4)

***

DFT (PBE) results for an optimized crystal structure of AlCd4Pd5.

Properties
Its calculated formation energy is -0.52 eV per atom.

Unit cell a=3.033 b=3.033 c=18.356 alpha=90.00 beta=90.00 gamma=90.00
Space group P4/mmm (No. 123)
Inequivalent atoms, fractional coordinates:
Al 0.000 0.000 0.000 (multiplicity 1)
Cd 0.000 0.000 0.190 (multiplicity 2)
Cd 0.000 0.000 0.397 (multiplicity 2)
Pd 0.500 0.500 0.081 (multiplicity 2)
Pd 0.500 0.500 0.294 (multiplicity 2)
Pd 0.500 0.500 0.500 (multiplicity 1)

***

DFT (PBE) results for an optimized crystal structure of FeHg2Pb.

Properties
Its calculated formation energy is 0.39 eV per atom.

Unit cell a=3.952 b=3.939 c=6.271 alpha=90.00 beta=108.09 gamma=90.00
Space group Pm (No. 6)
Inequivalent atoms, fractional coordinates:
Fe 0.000 0.000 0.000 (multiplicity 1)
Hg 0.232 0.000 0.468 (multiplicity 1)
Hg 0.837 0.500 0.678 (multiplicity 1)
Pb 0.560 0.500 0.122 (multiplicity 1)

***

DFT (PBE) results for an optimized crystal structure of V2Ru5Rh.

Properties
Its calculated formation energy is -0.14 eV per atom.

Unit cell a=7.610 b=7.619 c=7.622 alpha=90.00 beta=90.00 gamma=90.00
Space group Fmmm (No. 69)
Inequivalent atoms, fractional coordinates:
V 0.250 0.000 0.250 (multiplicity 8)
Ru 0.000 0.000 0.000 (multiplicity 4)
Ru 0.000 0.250 0.250 (multiplicity 8)
Ru 0.250 0.250 0.000 (multiplicity 8)
Rh 0.000 0.000 0.500 (multiplicity 4)

***

DFT (PBE) results for an optimized crystal structure of SrZnMo2.

Properties
Its calculated formation energy is 0.92 eV per atom.

Unit cell a=3.996 b=3.996 c=4.951 alpha=90.00 beta=90.00 gamma=90.00
Space group P4/mmm (No. 123)
Inequivalent atoms, fractional coordinates:
Sr 0.000 0.000 0.000 (multiplicity 1)
Zn 0.500 0.500 0.000 (multiplicity 1)
Mo 0.000 0.500 0.500 (multiplicity 2)

***

DFT (PBE) results for an optimized crystal structure of Tb2CePb9.

Properties
Its calculated formation energy is -0.31 eV per atom.

Unit cell a=4.902 b=4.902 c=14.684 alpha=90.00 beta=90.00 gamma=90.00
Space group P4/mmm (No. 123)
Inequivalent atoms, fractional coordinates:
Tb 0.000 0.000 0.171 (multiplicity 2)
Ce 0.000 0.000 0.500 (multiplicity 1)
Pb 0.000 0.500 0.000 (multiplicity 2)
Pb 0.000 0.500 0.332 (multiplicity 4)
Pb 0.500 0.500 0.166 (multiplicity 2)
Pb 0.500 0.500 0.500 (multiplicity 1)

***

DFT (PBE) results for an optimized crystal structure of CeYHoZr.

Properties
Its calculated formation energy is 0.23 eV per atom.

Unit cell a=7.744 b=7.744 c=7.744 alpha=90.00 beta=90.00 gamma=90.00
Space group F-43m (No. 216)
Inequivalent atoms, fractional coordinates:
Ce 0.000 0.000 0.000 (multiplicity 4)
Y 0.000 0.000 0.500 (multiplicity 4)
Ho 0.250 0.250 0.250 (multiplicity 4)
Zr 0.250 0.250 0.750 (multiplicity 4)

***

DFT (PBE) results for an optimized crystal structure of SbOs2Se.

Properties
Its uncorrected formation energy is 989 meV per atom.

Unit cell a=2.992 b=4.491 c=5.142 alpha=90.00 beta=90.00 gamma=90.00
Space group Pmmm (No. 47)
Inequivalent atoms, fractional coordinates:
Sb 0.000 0.000 0.000 (multiplicity 1)
Os 0.000 0.500 0.500 (multiplicity 1)
Os 0.500 0.500 0.000 (multiplicity 1)
Se 0.500 0.000 0.500 (multiplicity 1)

***

DFT (PBE) results for an optimized crystal structure of Li2NiAu.

Properties
Its calculated formation energy is -0.02 eV per atom.

Unit cell a=6.779 b=6.779 c=5.094 alpha=90.00 beta=90.00 gamma=90.00
Space group I-42d (No. 122)
Inequivalent atoms, fractional coordinates:
Li 0.236 0.250 0.125 (multiplicity 8)
Ni 0.000 0.000 0.000 (multiplicity 4)
Au 0.000 0.000 0.500 (multiplicity 4)

***

DFT (PBE) results for an optimized crystal structure of PmPuNiS4.

Properties
Its uncorrected formation energy is -1392 meV per atom.

Unit cell a=6.544 b=5.644 c=7.842 alpha=90.00 beta=106.86 gamma=90.00
Space group P2_1/m (No. 11)
Inequivalent atoms, fractional coordinates:
Pm 0.231 0.250 0.431 (multiplicity 2)
Pu 0.249 0.250 0.940 (multiplicity 2)
Ni 0.260 0.750 0.182 (multiplicity 2)
S 0.071 0.750 0.380 (multiplicity 2)
S 0.076 0.750 0.900 (multiplicity 2)
S 0.485 0.511 0.749 (multiplicity 4)

***

DFT (PBE) results for an optimized crystal structure of Tb2ErPaSb4.

Properties
Its uncorrected formation energy is -957 meV per atom.

Unit cell a=7.578 b=4.377 c=7.594 alpha=90.00 beta=109.35 gamma=90.00
Space group P2/m (No. 10)
Inequivalent atoms, fractional coordinates:
Tb 0.000 0.000 0.000 (multiplicity 1)
Tb 0.500 0.500 0.000 (multiplicity 1)
Er 0.000 0.500 0.500 (multiplicity 1)
Pa 0.500 0.000 0.500 (multiplicity 1)
Sb 0.249 0.000 0.746 (multiplicity 2)
Sb 0.249 0.500 0.252 (multiplicity 2)

***

DFT (PBE) results for an optimized crystal structure of Pm2Ag5Hg.

Properties
Its calculated formation energy is -0.19 eV per atom.

Unit cell a=4.136 b=17.805 c=10.074 alpha=90.00 beta=90.00 gamma=90.00
Space group Cmcm (No. 63)
Inequivalent atoms, fractional coordinates:
Pm 0.000 0.000 0.000 (multiplicity 4)
Pm 0.000 0.184 0.250 (multiplicity 4)
Ag 0.000 0.209 0.603 (multiplicity 8)
Ag 0.000 0.366 0.527 (multiplicity 8)
Ag 0.000 0.377 0.250 (multiplicity 4)
Hg 0.000 0.465 0.750 (multiplicity 4)

***

DFT (PBE) results for an optimized crystal structure of NaSbAu3.

Properties
Its uncorrected formation energy is 36 meV per atom.

Unit cell a=5.308 b=5.308 c=5.308 alpha=90.00 beta=90.00 gamma=90.00
Space group Pm-3m (No. 221)
Inequivalent atoms, fractional coordinates:
Na 0.000 0.000 0.000 (multiplicity 1)
Sb 0.500 0.500 0.500 (multiplicity 1)
Au 0.000 0.500 0.500 (multiplicity 3)

***

DFT (PBE) results for an optimized crystal structure of MoBr3.

Properties
Its uncorrected formation energy is 8 meV per atom.

Unit cell a=12.423 b=14.523 c=3.290 alpha=90.00 beta=90.00 gamma=90.00
Space group Cmcm (No. 63)
Inequivalent atoms, fractional coordinates:
Mo 0.000 0.064 0.250 (multiplicity 4)
Br 0.000 0.421 0.250 (multiplicity 4)
Br 0.175 0.134 0.250 (multiplicity 8)

***

DFT (PBE) results for an optimized crystal structure of Zn2CuP.

Properties
Its calculated formation energy is 0.12 eV per atom.

Unit cell a=3.396 b=3.396 c=5.027 alpha=90.00 beta=90.00 gamma=90.00
Space group P4mm (No. 99)
Inequivalent atoms, fractional coordinates:
Zn 0.000 0.000 0.000 (multiplicity 1)
Zn 0.500 0.500 0.263 (multiplicity 1)
Cu 0.000 0.000 0.506 (multiplicity 1)
P 0.500 0.500 0.750 (multiplicity 1)

***

DFT (PBE) results for an optimized crystal structure of La5OsAu2N.

Properties
Its uncorrected formation energy is -710 meV per atom.

Unit cell a=4.220 b=18.138 c=13.355 alpha=90.00 beta=90.00 gamma=90.00
Space group Cmc2_1 (No. 36)
Inequivalent atoms, fractional coordinates:
La 0.000 0.003 0.000 (multiplicity 4)
La 0.000 0.147 0.233 (multiplicity 4)
La 0.000 0.184 0.613 (multiplicity 4)
La 0.000 0.217 0.901 (multiplicity 4)
La 0.000 0.457 0.236 (multiplicity 4)
Os 0.000 0.296 0.259 (multiplicity 4)
Au 0.000 0.370 0.549 (multiplicity 4)
Au 0.000 0.394 0.906 (multiplicity 4)
N 0.000 0.050 0.650 (multiplicity 4)

***

DFT (PBE) results for an optimized crystal structure of Re2BSe.

Properties
Its uncorrected formation energy is 632 meV per atom.

Unit cell a=4.372 b=4.372 c=13.540 alpha=90.00 beta=90.00 gamma=90.00
Space group I-42d (No. 122)
Inequivalent atoms, fractional coordinates:
Re 0.164 0.250 0.125 (multiplicity 8)
B 0.000 0.000 0.000 (multiplicity 4)
Se 0.000 0.000 0.500 (multiplicity 4)

***

DFT (PBE) results for an optimized crystal structure of Na2CrH5.

Unit cell a=6.633 b=5.023 c=10.113 alpha=90.00 beta=90.00 gamma=90.00
Space group Pnma (No. 62)
Inequivalent atoms, fractional coordinates:
Na 0.009 0.250 0.224 (multiplicity 4)
Na 0.153 0.750 0.417 (multiplicity 4)
Cr 0.166 0.750 0.058 (multiplicity 4)
H 0.000 0.000 0.000 (multiplicity 4)
H 0.038 0.750 0.203 (multiplicity 4)
H 0.180 0.008 0.613 (multiplicity 8)
H 0.215 0.250 0.404 (multiplicity 4)

***

DFT (PBE) results for an optimized crystal structure of Rb2Zr2Cu.

Properties
Its calculated formation energy is 1.39 eV per atom.

Unit cell a=11.578 b=11.578 c=3.224 alpha=90.00 beta=90.00 gamma=90.00
Space group P4/mbm (No. 127)
Inequivalent atoms, fractional coordinates:
Rb 0.210 0.290 0.000 (multiplicity 4)
Zr 0.076 0.576 0.500 (multiplicity 4)
Cu 0.000 0.000 0.000 (multiplicity 2)

***

DFT (PBE) results for an optimized crystal structure of SrBeRu2.

Properties
Its calculated formation energy is 0.90 eV per atom.

Unit cell a=4.072 b=4.072 c=8.222 alpha=90.00 beta=90.00 gamma=90.00
Space group I4/mmm (No. 139)
Inequivalent atoms, fractional coordinates:
Sr 0.000 0.000 0.000 (multiplicity 2)
Be 0.000 0.000 0.500 (multiplicity 2)
Ru 0.000 0.500 0.250 (multiplicity 4)

***

DFT (PBE) results for an optimized crystal structure of NiIrRuPt.

Properties
Its calculated formation energy is -0.04 eV per atom.

Unit cell a=2.721 b=2.721 c=7.476 alpha=90.00 beta=90.00 gamma=90.00
Space group P4mm (No. 99)
Inequivalent atoms, fractional coordinates:
Ni 0.000 0.000 0.000 (multiplicity 1)
Ir 0.500 0.500 0.759 (multiplicity 1)
Ru 0.000 0.000 0.516 (multiplicity 1)
Pt 0.500 0.500 0.248 (multiplicity 1)

***

DFT (PBE) results for an optimized crystal structure of Rb2Pb2Cl.

Properties
Its uncorrected formation energy is -457 meV per atom.

Unit cell a=8.569 b=8.569 c=6.597 alpha=90.00 beta=90.00 gamma=90.00
Space group P4/mbm (No. 127)
Inequivalent atoms, fractional coordinates:
Rb 0.186 0.314 0.000 (multiplicity 4)
Pb 0.117 0.617 0.500 (multiplicity 4)
Cl 0.000 0.000 0.000 (multiplicity 2)

***

DFT (PBE) results for an optimized crystal structure of LiAlRu2.

Properties
Its calculated formation energy is 0.05 eV per atom.

Unit cell a=2.712 b=2.712 c=7.706 alpha=90.00 beta=90.00 gamma=90.00
Space group P4/mmm (No. 123)
Inequivalent atoms, fractional coordinates:
Li 0.000 0.000 0.000 (multiplicity 1)
Al 0.000 0.000 0.500 (multiplicity 1)
Ru 0.500 0.500 0.265 (multiplicity 2)

***

no.,calculated total energy (eV per atom)
1,-2.595
2,-3.859
3,-2.803
4,-9.135
5,-5.239
6,-4.360
7,-6.155
8,-6.528
9,-3.243
10,-7.303
11,-5.933
12,-3.199
13,-3.019
14,-3.955
15,-2.889
16,-6.349
17,-8.132
18,-3.721
19,-3.233
20,-5.087
21,-7.529
22,-2.697
23,-6.000